Entry 1:
This record from the Alexandria database describes crystalline LaNiPt2 at its relaxed geometry. The functional is PBE.

The structure belongs to space group R3m (No. 160, hexagonal axes); the cell edges are 2.9539, 2.9539 and 28.2999 Å and the angles 90.00°, 90.00° and 120.00°. The inequivalent atoms are La at (0.0000, 0.0000, 0.0000), Ni at (0.0000, 0.0000, 0.7568), Pt at (0.0000, 0.0000, 0.2413) and Pt at (0.0000, 0.0000, 0.4929).

As for the energy of formation: 0.21 eV/atom.

---

Entry 2:
This record from the Alexandria database describes crystalline La3NiPt at its relaxed geometry. The functional is PBE.

The structure belongs to space group P2_1/m (No. 11); the cell edges are 8.426, 4.018 and 8.443 Å and the angles 90.00°, 108.50° and 90.00°. The inequivalent atoms are La at (0.067, 0.250, 0.245), La at (0.319, 0.250, 0.970), La at (0.357, 0.750, 0.605), Ni at (0.072, 0.250, 0.581) and Pt at (0.353, 0.750, 0.244).

For the energy above the most stable polymorph in this dataset, the calculation gives 0 meV per atom. As for the energy of formation: -0.61 eV/atom.

---

Entry 3:
This record from the Alexandria database describes crystalline LaNi4Pt at its relaxed geometry. The functional is PBE.

The structure belongs to space group F-43m (No. 216); the cell edges are 7.067, 7.067 and 7.067 Å and the angles 90.00°, 90.00° and 90.00°. The inequivalent atoms are La at (0.000, 0.000, 0.000), Ni at (0.123, 0.123, 0.377) and Pt at (0.250, 0.250, 0.750).

For the energy above the most stable polymorph in this dataset, the calculation gives 195 meV per atom. As for the energy of formation: -0.26 eV/atom.

---

Entry 4:
This record from the Alexandria database describes crystalline La2Ni2Pt at its relaxed geometry. The functional is PBE.

The structure belongs to space group I4/mmm (No. 139); the cell edges are 5.373, 5.373 and 7.538 Å and the angles 90.00°, 90.00° and 90.00°. The inequivalent atoms are La at (0.000, 0.500, 0.250), Ni at (0.000, 0.000, 0.154) and Pt at (0.000, 0.000, 0.500).

For the energy above the most stable polymorph in this dataset, the calculation gives 94 meV per atom. As for the energy of formation: -0.49 eV/atom.

---

Entry 5:
This record from the Alexandria database describes crystalline La7NiPt4 at its relaxed geometry. The functional is PBE.

The structure belongs to space group Cm (No. 8); the cell edges are 13.920, 4.124 and 12.625 Å and the angles 90.00°, 103.87° and 90.00°. The inequivalent atoms are La at (0.000, 0.000, 0.000), La at (0.022, 0.500, 0.280), La at (0.103, 0.500, 0.587), La at (0.218, 0.000, 0.857), La at (0.254, 0.500, 0.143), La at (0.298, 0.000, 0.418), La at (0.413, 0.500, 0.690), Ni at (0.142, 0.000, 0.214), Pt at (0.061, 0.500, 0.822), Pt at (0.258, 0.000, 0.638), Pt at (0.374, 0.000, 0.068) and Pt at (0.456, 0.500, 0.454).

As for the energy of formation: -0.86 eV/atom.

---

Entry 6:
This record from the Alexandria database describes crystalline LaNiPt2 at its relaxed geometry. The functional is PBE.

The structure belongs to space group I4/mmm (No. 139); the cell edges are 4.141, 4.141 and 8.540 Å and the angles 90.00°, 90.00° and 90.00°. The inequivalent atoms are La at (0.000, 0.000, 0.000), Ni at (0.000, 0.000, 0.500) and Pt at (0.000, 0.500, 0.250).

As for the energy of formation: -0.52 eV/atom.

---

Entry 7:
This record from the Alexandria database describes crystalline LaNiPt2 at its relaxed geometry. The functional is PBE.

The structure belongs to space group Cm (No. 8); the cell edges are 7.711, 4.458 and 5.438 Å and the angles 90.00°, 118.60° and 90.00°. The inequivalent atoms are La at (0.000, 0.000, 0.000), Ni at (0.189, 0.000, 0.565), Pt at (0.014, 0.500, 0.541) and Pt at (0.300, 0.500, 0.401).

As for the energy of formation: -0.69 eV/atom.

---

Entry 8:
This record from the Alexandria database describes crystalline La3NiPt2 at its relaxed geometry. The functional is PBE.

The structure belongs to space group Pnma (No. 62); the cell edges are 11.963, 4.157 and 12.172 Å and the angles 90.00°, 90.00° and 90.00°. The inequivalent atoms are La at (0.055, 0.250, 0.126), La at (0.122, 0.750, 0.556), La at (0.217, 0.250, 0.808), Ni at (0.123, 0.250, 0.374), Pt at (0.009, 0.750, 0.307) and Pt at (0.181, 0.750, 0.989).

As for the energy of formation: -0.89 eV/atom.

---

Entry 9:
This record from the Alexandria database describes crystalline La3NiPt at its relaxed geometry. The functional is PBE.

The structure belongs to space group Pm-3m (No. 221); the cell edges are 5.287, 5.287 and 5.287 Å and the angles 90.00°, 90.00° and 90.00°. The inequivalent atoms are La at (0.000, 0.000, 0.500), Ni at (0.000, 0.000, 0.000) and Pt at (0.500, 0.500, 0.500).

For the energy above the most stable polymorph in this dataset, the calculation gives 488 meV per atom. As for the energy of formation: -0.13 eV/atom.

---

Entry 10:
This record from the Alexandria database describes crystalline LaNiPt2 at its relaxed geometry. The functional is PBE.

The structure belongs to space group F-43m (No. 216); the cell edges are 6.671, 6.671 and 6.671 Å and the angles 90.00°, 90.00° and 90.00°. The inequivalent atoms are La at (0.000, 0.000, 0.000), Ni at (0.250, 0.250, 0.750), Pt at (0.000, 0.000, 0.500) and Pt at (0.250, 0.250, 0.250).

As for the energy of formation: -0.43 eV/atom.

---

Entry 11:
This record from the Alexandria database describes crystalline La8Ni2Pt at its relaxed geometry. The functional is PBE.

The structure belongs to space group Cm (No. 8); the cell edges are 8.272, 13.114 and 6.591 Å and the angles 90.00°, 109.90° and 90.00°. The inequivalent atoms are La at (0.000, 0.000, 0.000), La at (0.077, 0.359, 0.837), La at (0.126, 0.136, 0.576), La at (0.204, 0.500, 0.395), La at (0.376, 0.201, 0.218), Ni at (0.336, 0.314, 0.674) and Pt at (0.342, 0.000, 0.967).

As for the energy of formation: -0.26 eV/atom.

---

Entry 12:
This record from the Alexandria database describes crystalline La3NiPt at its relaxed geometry. The functional is PBE.

The structure belongs to space group C2/m (No. 12); the cell edges are 20.601, 4.015 and 6.748 Å and the angles 90.00°, 99.80° and 90.00°. The inequivalent atoms are La at (0.002, 0.000, 0.253), La at (0.141, 0.500, 0.584), La at (0.183, 0.000, 0.120), Ni at (0.235, 0.000, 0.609) and Pt at (0.079, 0.500, 0.036).

For the energy above the most stable polymorph in this dataset, the calculation gives 24 meV per atom. As for the energy of formation: -0.59 eV/atom.